First-principles (PBE) data for a geometry-optimized Mg3Zn5Hg12 structure, as listed in the Alexandria database.

extended XYZ file:
```
80
Lattice="14.128 0.000 0.000 -4.709 13.320 0.000 -4.709 -6.660 11.536" Properties=species:S:1:pos:R:3 pbc="T T T"
Mg 8.242 4.163 1.442
Mg 8.242 9.158 1.442
Mg -1.177 5.828 7.210
Mg 1.177 -0.833 4.326
Mg 10.596 0.000 2.884
Mg 1.177 6.660 2.884
Mg 3.532 0.000 8.652
Mg -5.887 6.660 8.652
Mg 3.532 7.493 7.210
Mg 5.887 0.833 4.326
Mg -3.532 -2.498 10.094
Mg -3.532 2.498 10.094
Zn -1.177 3.330 2.884
Zn -2.355 6.660 0.000
Zn 0.000 0.000 0.000
Zn 3.532 2.498 1.442
Zn 4.709 -3.330 5.768
Zn 4.709 6.660 0.000
Zn -3.532 7.493 4.326
Zn 5.887 -4.163 10.094
Zn 5.887 5.828 4.326
Zn 1.177 -3.330 8.652
Zn 3.532 9.990 2.884
Zn 2.355 3.330 5.768
Zn 7.064 0.000 0.000
Zn -2.355 -3.330 5.768
Zn -1.177 0.833 7.210
Zn -1.177 10.823 1.442
Zn -4.709 3.330 5.768
Zn 8.242 -0.833 7.210
Zn 1.177 4.163 10.094
Zn 5.887 3.330 8.652
Hg 9.415 1.333 0.639
Hg 0.004 4.550 4.933
Hg 10.309 3.143 3.144
Hg 6.174 2.179 1.474
Hg 1.881 5.214 7.753
Hg 9.840 6.479 1.985
Hg -0.891 7.624 4.618
Hg -3.819 11.141 1.474
Hg 0.474 8.106 7.753
Hg 6.644 6.842 1.985
Hg 7.068 3.443 4.294
Hg 7.068 11.987 0.639
Hg -4.236 5.991 6.407
Hg 2.775 5.032 1.150
Hg -4.713 9.877 4.294
Hg 2.358 -2.110 6.603
Hg -0.474 0.777 2.624
Hg 2.775 8.470 0.835
Hg 6.174 10.178 3.144
Hg -0.421 4.850 0.835
Hg -2.828 7.437 8.912
Hg 3.245 5.696 4.618
Hg 6.591 7.329 6.407
Hg 5.130 -1.628 10.386
Hg 1.464 0.964 6.918
Hg -1.881 -0.669 5.129
Hg -0.421 8.289 1.150
Hg -1.464 -3.517 8.392
Hg 7.538 -0.777 2.624
Hg 5.130 1.810 10.700
Hg 1.934 -1.810 10.700
Hg 2.351 8.770 4.933
Hg 5.183 5.883 8.912
Hg 9.422 -3.217 7.242
Hg 8.945 0.669 5.129
Hg -2.358 -5.327 10.897
Hg 1.934 1.628 10.386
Hg 4.236 -1.446 3.783
Hg -1.934 -0.182 9.551
Hg -2.358 3.217 7.242
Hg 8.528 -4.481 10.061
Hg 5.600 -0.964 6.918
Hg -1.464 4.481 10.061
Hg -5.130 0.182 9.551
Hg 2.828 1.446 3.783
Hg -5.600 3.517 8.392
Hg 4.706 2.110 6.603
Hg -4.706 5.327 10.897
```



First-principles (PBE) data for a geometry-optimized Mg2ZnHg8 structure, as listed in the Alexandria database.

extended XYZ file:
```
11
Lattice="5.740 0.186 -0.880 -1.554 6.525 -2.161 0.051 0.461 7.032" Properties=species:S:1:pos:R:3 pbc="T T T"
Mg 1.919 4.441 0.607
Mg 2.393 2.652 3.319
Zn 1.025 0.301 0.020
Hg 3.179 2.231 -0.920
Hg 3.616 0.578 1.586
Hg 0.045 2.478 1.627
Hg 5.290 2.021 3.925
Hg 4.452 5.186 -0.873
Hg 3.600 5.297 2.866
Hg 0.447 6.415 2.231
Hg 0.905 4.685 4.854
```



First-principles (PBE) data for a geometry-optimized Mg2ZnHg structure, as listed in the Alexandria database.

extended XYZ file:
```
4
Lattice="-0.418 2.160 2.455 0.860 -0.825 3.073 8.301 3.643 0.421" Properties=species:S:1:pos:R:3 pbc="T T T"
Mg 6.363 2.882 0.759
Mg 2.084 1.204 1.501
Zn 8.594 4.531 4.106
Hg 4.376 2.491 2.976
```

Output
Relative energy among the computed polymorphs   83 meV per atom



First-principles (PBE) data for a geometry-optimized MgZnHg2 structure, as listed in the Alexandria database.

extended XYZ file:
```
4
Lattice="-4.831 -0.445 -0.418 4.468 -5.430 -0.224 -0.175 -2.344 2.707" Properties=species:S:1:pos:R:3 pbc="T T T"
Mg -0.182 -2.937 -0.321
Zn -2.503 -1.395 1.145
Hg 0.000 0.000 0.000
Hg 2.146 -3.887 1.242
```



no.,calculated formation energy (eV per atom),total magnetic moment (μB per formula unit)
1,0.10,0.000
2,-0.02,0.000
3,-0.07,0.000
4,-0.04,0.000